# 1
Below is an optimized crystal structure of K3DyW2O9, with properties calculated at the PBE+U level.

Cell lengths 5.821, 5.821, 7.202 Å; angles 90.00, 90.00, 120.00 degrees
Positions (direct):
O 0.000 0.500 0.000
O 0.178 0.356 0.311
O 0.822 0.178 0.689
O 0.178 0.822 0.311
O 0.500 0.500 0.000
O 0.500 0.000 0.000
O 0.822 0.644 0.689
O 0.356 0.178 0.689
O 0.644 0.822 0.311
W 0.667 0.333 0.836
W 0.333 0.667 0.164
K 0.000 0.000 0.000
K 0.333 0.667 0.670
K 0.667 0.333 0.330
Dy 0.000 0.000 0.500

Summary:
The calculation puts the final energy at -6.792 eV/atom. As for the symmetry: P-3m1, No. 164.

# 2
Below is an optimized crystal structure of KDyW2O8, with properties calculated at the PBE+U level.

Cell lengths 5.697, 5.697, 8.850 Å; angles 71.22, 71.22, 60.00 degrees
Positions (direct):
Dy 0.000 0.000 0.000
O 0.004 0.398 0.839
O 0.816 0.816 0.553
O 0.242 0.996 0.161
O 0.184 0.184 0.447
O 0.398 0.758 0.839
O 0.996 0.602 0.161
O 0.758 0.004 0.839
O 0.602 0.242 0.161
W 0.743 0.743 0.770
W 0.257 0.257 0.230
K 0.500 0.500 0.500

Summary:
The calculation puts the final energy at -7.312 eV/atom. As for the symmetry: R-3, No. 148.

# 3
Below is an optimized crystal structure of K2DyWO6, with properties calculated at the PBE+U level.

Cell lengths 6.186, 6.186, 10.747 Å; angles 73.27, 73.27, 60.00 degrees
Positions (direct):
O 0.396 0.827 0.381
O 0.186 0.739 0.889
O 0.814 0.261 0.111
O 0.396 0.396 0.381
O 0.604 0.604 0.619
O 0.261 0.814 0.111
O 0.827 0.396 0.381
O 0.814 0.814 0.111
O 0.739 0.186 0.889
O 0.186 0.186 0.889
O 0.173 0.604 0.619
O 0.604 0.173 0.619
W 0.500 0.500 0.500
W 0.000 0.000 0.000
K 0.864 0.864 0.407
K 0.732 0.732 0.804
K 0.136 0.136 0.593
K 0.268 0.268 0.196
Dy 0.599 0.599 0.202
Dy 0.401 0.401 0.798

Summary:
The calculation puts the final energy at -6.576 eV/atom. As for the symmetry: R-3m, No. 166.